Record 1
# Te7RuI6

Crystalline Te7RuI6 at its relaxed geometry (PBE-GGA, Alexandria via LeMat-Bulk).

## Properties
As for the space-group type: P-1.

```
28
Lattice="10.600 0.000 0.000 -4.173 10.039 0.000 -2.623 -3.591 10.943" Properties=species:S:1:pos:R:3 pbc="T T T"
Te -1.160 3.127 0.099
Te 0.084 -1.030 3.198
Te -4.071 4.968 7.881
Te -1.490 -0.543 9.351
Te 1.697 0.633 0.154
Te -1.625 8.371 1.915
Te 0.587 2.667 3.393
Te 3.217 3.781 7.550
Te 5.429 -1.923 9.028
Te 2.107 5.815 10.789
Te 5.294 6.991 1.592
Te 7.875 1.479 3.062
Te 3.720 7.478 7.745
Te 4.964 3.321 10.844
Ru -0.555 1.074 1.681
Ru 4.359 5.374 9.262
I -1.918 4.574 3.396
I -1.068 1.335 5.750
I 1.062 -2.321 7.553
I -2.229 4.247 10.093
I 1.993 4.493 1.536
I 2.957 1.011 4.086
I 0.847 5.437 6.857
I 1.811 1.955 9.407
I 6.033 2.201 0.850
I 2.742 8.769 3.390
I 4.872 5.112 5.193
I 5.722 1.874 7.547
```


Record 2
# Te2RuI

Crystalline Te2RuI at its relaxed geometry (PBE-GGA, Alexandria via LeMat-Bulk).

## Properties
The calculation puts the energy relative to the lowest polymorph listed for this composition at 944 meV/atom. As for the space-group type: Fm-3m.

```
16
Lattice="7.246 0.000 0.000 0.000 7.246 0.000 0.000 0.000 7.246" Properties=species:S:1:pos:R:3 pbc="T T T"
Te 1.812 1.812 1.812
Te 1.812 1.812 5.435
Te 1.812 5.435 1.812
Te 1.812 5.435 5.435
Te 5.435 1.812 1.812
Te 5.435 1.812 5.435
Te 5.435 5.435 1.812
Te 5.435 5.435 5.435
Ru 0.000 0.000 0.000
Ru 0.000 3.623 3.623
Ru 3.623 0.000 3.623
Ru 3.623 3.623 0.000
I 0.000 0.000 3.623
I 0.000 3.623 0.000
I 3.623 0.000 0.000
I 3.623 3.623 3.623
```


Record 3
# TlTeRuI2

Crystalline TlTeRuI2 at its relaxed geometry (PBE-GGA, Alexandria via LeMat-Bulk).

## Properties
The calculation puts the energy relative to the lowest polymorph listed for this composition at 0 meV/atom. As for the space-group type: P4/mmm.

```
5
Lattice="5.770 0.000 0.000 0.000 5.770 0.000 0.000 0.000 5.005" Properties=species:S:1:pos:R:3 pbc="T T T"
Tl 0.000 0.000 0.000
Te 2.885 2.885 0.000
Ru 2.885 2.885 2.502
I 0.000 2.885 2.502
I 2.885 0.000 2.502
```


Record 4
# TlTe2RuI

Crystalline TlTe2RuI at its relaxed geometry (PBE-GGA, Alexandria via LeMat-Bulk).

## Properties
The calculation puts the energy relative to the lowest polymorph listed for this composition at 0 meV/atom. As for the space-group type: P4/mmm.

```
5
Lattice="5.194 0.000 0.000 0.000 5.194 0.000 0.000 0.000 5.940" Properties=species:S:1:pos:R:3 pbc="T T T"
Tl 0.000 0.000 0.000
Te 0.000 2.597 2.970
Te 2.597 0.000 2.970
Ru 2.597 2.597 2.970
I 2.597 2.597 0.000
```


no.,VASP energy (eV per atom)
1,-3.042
2,-3.416
3,-3.516
4,-3.744